1.
Below is a relaxed La2YEr crystal, with properties calculated at the PBE level.

Geometry as POSCAR:
```
La2YEr
1.0
3.6507 0.0000 0.0000
-1.8254 3.1616 0.0000
0.0000 0.0000 35.4536
La Y Er
6 3 3
Direct
0.0000 0.0000 0.0000
0.0000 0.0000 0.1675
0.3333 0.6667 0.6667
0.3333 0.6667 0.8342
0.6667 0.3333 0.3333
0.6667 0.3333 0.5008
0.0000 0.0000 0.4163
0.3333 0.6667 0.0830
0.6667 0.3333 0.7497
0.0000 0.0000 0.5849
0.3333 0.6667 0.2516
0.6667 0.3333 0.9183
```

Values from the calculation:
Theoretical density = 6500 kg/m³
Crystal system = trigonal
Formation enthalpy at 0 K = 0.66 kcal/mol of atoms
Polymorph energy (0 for the lowest one) = 17.2 meV/atom

=====

2.
Below is a relaxed LaY4Er5 crystal, with properties calculated at the PBE level.

Geometry as POSCAR:
```
LaY4Er5
1.0
-5.0855 5.0855 3.1703
5.0855 -5.0855 3.1703
5.0855 5.0855 -3.1703
La Y Er
1 4 5
Direct
0.0000 0.0000 0.0000
0.1810 0.8835 0.6036
0.2799 0.5774 0.3964
0.5774 0.1810 0.2975
0.8835 0.2799 0.7025
0.4551 0.4551 0.0000
0.4921 0.8664 0.9115
0.5805 0.4921 0.6256
0.8664 0.9549 0.3744
0.9549 0.5805 0.0885
```

Values from the calculation:
Theoretical density = 6738 kg/m³
Crystal system = tetragonal
Formation enthalpy at 0 K = 6.96 kcal/mol of atoms
Polymorph energy (0 for the lowest one) = 235.1 meV/atom

=====

3.
Below is a relaxed La6Y2Er crystal, with properties calculated at the PBE level.

Geometry as POSCAR:
```
La6Y2Er
1.0
4.7534 -8.9508 0.0000
4.7534 8.9508 0.0000
0.0000 0.0000 3.7115
La Y Er
6 2 1
Direct
0.0046 0.3362 0.0000
0.1804 0.1804 0.5000
0.3362 0.0046 0.0000
0.6638 0.9954 0.0000
0.8196 0.8196 0.5000
0.9954 0.6638 0.0000
0.3289 0.6711 0.5000
0.6711 0.3289 0.5000
0.5000 0.5000 0.0000
```

Values from the calculation:
Theoretical density = 6196 kg/m³
Crystal system = orthorhombic
Formation enthalpy at 0 K = 2.58 kcal/mol of atoms
Polymorph energy (0 for the lowest one) = 56.7 meV/atom

=====

4.
Below is a relaxed La4YEr5 crystal, with properties calculated at the PBE level.

Geometry as POSCAR:
```
La4YEr5
1.0
10.8273 0.0000 0.0000
0.0000 10.8393 0.0000
0.0000 0.0000 5.7147
La Y Er
8 2 10
Direct
0.0457 0.2500 0.1153
0.2500 0.0453 0.8850
0.2500 0.4547 0.8850
0.4543 0.2500 0.1153
0.5457 0.7500 0.8847
0.7500 0.5453 0.1150
0.7500 0.9547 0.1150
0.9543 0.7500 0.8847
0.2500 0.7500 0.8945
0.7500 0.2500 0.1055
0.0923 0.5926 0.3590
0.0923 0.9074 0.3590
0.2500 0.2500 0.5007
0.4077 0.5926 0.3590
0.4077 0.9074 0.3590
0.5923 0.0926 0.6410
0.5923 0.4074 0.6410
0.7500 0.7500 0.4993
0.9077 0.0926 0.6410
0.9077 0.4074 0.6410
```

Values from the calculation:
Theoretical density = 7333 kg/m³
Crystal system = orthorhombic
Formation enthalpy at 0 K = 4.56 kcal/mol of atoms

=====

5.
Below is a relaxed La2Y3Er2 crystal, with properties calculated at the PBE level.

Geometry as POSCAR:
```
La2Y3Er2
1.0
5.4693 0.0000 0.0000
0.0021 5.6361 0.0000
2.6848 2.8014 8.0646
La Y Er
2 3 2
Direct
0.1089 0.1047 0.2904
0.8911 0.8953 0.7096
0.0000 0.5000 0.5000
0.2394 0.7394 0.0198
0.7606 0.2606 0.9802
0.3876 0.3859 0.7245
0.6124 0.6141 0.2755
```

Values from the calculation:
Theoretical density = 5872 kg/m³
Crystal system = triclinic
Formation enthalpy at 0 K = 6.72 kcal/mol of atoms
Polymorph energy (0 for the lowest one) = 219.8 meV/atom

=====

6.
Below is a relaxed La2Y4Er crystal, with properties calculated at the PBE level.

Geometry as POSCAR:
```
La2Y4Er
1.0
5.9452 0.0000 0.0000
0.0000 23.3472 0.0000
0.0000 0.0000 3.4397
La Y Er
4 8 2
Direct
0.0000 0.2168 0.0000
0.0000 0.7832 0.0000
0.5000 0.2832 0.0000
0.5000 0.7168 0.0000
0.0000 0.0771 0.5000
0.0000 0.3671 0.0000
0.0000 0.6329 0.0000
0.0000 0.9229 0.5000
0.5000 0.1329 0.0000
0.5000 0.4229 0.5000
0.5000 0.5771 0.5000
0.5000 0.8671 0.0000
0.0000 0.5000 0.5000
0.5000 0.0000 0.5000
```

Values from the calculation:
Theoretical density = 5570 kg/m³
Crystal system = orthorhombic
Formation enthalpy at 0 K = 5.01 kcal/mol of atoms
Polymorph energy (0 for the lowest one) = 45.0 meV/atom

=====

7.
Below is a relaxed LaY3Er3 crystal, with properties calculated at the PBE level.

Geometry as POSCAR:
```
LaY3Er3
1.0
4.3307 2.5003 7.2875
-4.3307 2.5003 7.2875
0.0000 -5.0006 7.2875
La Y Er
2 6 6
Direct
0.1493 0.1493 0.1493
0.8507 0.8507 0.8507
0.0701 0.2296 0.5633
0.2296 0.5633 0.0701
0.4367 0.9299 0.7704
0.5633 0.0701 0.2296
0.7704 0.4367 0.9299
0.9299 0.7704 0.4367
0.2168 0.4344 0.6717
0.3283 0.7832 0.5656
0.4344 0.6717 0.2168
0.5656 0.3283 0.7832
0.6717 0.2168 0.4344
0.7832 0.5656 0.3283
```

Values from the calculation:
Theoretical density = 6365 kg/m³
Crystal system = trigonal
Formation enthalpy at 0 K = 4.76 kcal/mol of atoms
Polymorph energy (0 for the lowest one) = 189.1 meV/atom

=====

8.
Below is a relaxed LaY12Er3 crystal, with properties calculated at the PBE level.

Geometry as POSCAR:
```
LaY12Er3
1.0
5.0495 0.0000 0.0000
0.0000 5.0495 0.0000
0.0000 0.0000 20.2385
La Y Er
1 12 3
Direct
0.0000 0.0000 0.0000
0.0000 0.5000 0.1288
0.0000 0.5000 0.3763
0.0000 0.5000 0.6237
0.0000 0.5000 0.8712
0.5000 0.0000 0.1288
0.5000 0.0000 0.3763
0.5000 0.0000 0.6237
0.5000 0.0000 0.8712
0.5000 0.5000 0.0000
0.5000 0.5000 0.2532
0.5000 0.5000 0.5000
0.5000 0.5000 0.7468
0.0000 0.0000 0.2520
0.0000 0.0000 0.5000
0.0000 0.0000 0.7480
```

Values from the calculation:
Theoretical density = 5495 kg/m³
Crystal system = tetragonal
Formation enthalpy at 0 K = 0.65 kcal/mol of atoms

=====

Please write out number 2 again, unchanged.
Below is a relaxed LaY4Er5 crystal, with properties calculated at the PBE level.

Geometry as POSCAR:
```
LaY4Er5
1.0
-5.0855 5.0855 3.1703
5.0855 -5.0855 3.1703
5.0855 5.0855 -3.1703
La Y Er
1 4 5
Direct
0.0000 0.0000 0.0000
0.1810 0.8835 0.6036
0.2799 0.5774 0.3964
0.5774 0.1810 0.2975
0.8835 0.2799 0.7025
0.4551 0.4551 0.0000
0.4921 0.8664 0.9115
0.5805 0.4921 0.6256
0.8664 0.9549 0.3744
0.9549 0.5805 0.0885
```

Values from the calculation:
Theoretical density = 6738 kg/m³
Crystal system = tetragonal
Formation enthalpy at 0 K = 6.96 kcal/mol of atoms
Polymorph energy (0 for the lowest one) = 235.1 meV/atom